[1]
Density functional theory data (PBE) for an optimized crystal structure of SiNiAu2.

POSCAR file:
```
SiNiAu2
1.0
2.118 -2.124 0.000
2.118 2.124 0.000
0.000 0.000 6.693
Si Ni Au
1 1 2
Direct
0.000 0.000 0.000
0.500 0.500 0.145
0.000 0.000 0.416
0.500 0.500 0.731
```

DFT total energy   -4.509 eV per atom
ΔE_f (raw)   -0.0693 eV per atom
M_tot   0.00 μB per cell
SG   Cmm2 (35)

=====

[2]
Density functional theory data (PBE) for an optimized crystal structure of Rb2ZnPtI6.

POSCAR file:
```
Rb2ZnPtI6
1.0
-4.235 4.235 5.845
4.235 -4.235 5.845
4.235 4.235 -5.845
Rb Zn Pt I
2 1 1 6
Direct
0.250 0.750 0.500
0.750 0.250 0.500
0.000 0.000 0.000
0.500 0.500 0.000
0.214 0.214 0.000
0.278 0.278 0.557
0.278 0.722 0.000
0.722 0.278 0.000
0.722 0.722 0.443
0.786 0.786 0.000
```

DFT total energy   -2.588 eV per atom
ΔE_f (raw)   -0.7327 eV per atom
M_tot   0.00 μB per cell
SG   I4/mmm (139)

=====

[3]
Density functional theory data (PBE) for an optimized crystal structure of Mn2TcBr8.

POSCAR file:
```
Mn2TcBr8
1.0
7.707 -3.831 0.000
7.707 3.831 0.000
-0.376 0.000 6.598
Mn Tc Br
2 1 8
Direct
0.155 0.155 0.442
0.845 0.845 0.558
0.000 0.000 0.000
0.145 0.145 0.826
0.171 0.705 0.759
0.295 0.829 0.241
0.306 0.306 0.382
0.694 0.694 0.618
0.705 0.171 0.759
0.829 0.295 0.241
0.855 0.855 0.174
```

DFT total energy   -4.351 eV per atom
ΔE_f (raw)   -0.5247 eV per atom
M_tot   13.03 μB per cell
SG   C2/m (12)

=====

[4]
Density functional theory data (PBE) for an optimized crystal structure of Na3Mn2InSe6.

POSCAR file:
```
Na3Mn2InSe6
1.0
3.356 -5.816 0.000
3.356 5.816 0.000
-2.252 0.000 6.997
Na Mn In Se
3 2 1 6
Direct
0.000 0.000 0.000
0.338 0.662 0.000
0.662 0.338 0.000
0.167 0.833 0.500
0.833 0.167 0.500
0.500 0.500 0.500
0.079 0.429 0.291
0.219 0.219 0.709
0.429 0.079 0.291
0.571 0.921 0.709
0.781 0.781 0.291
0.921 0.571 0.709
```

DFT total energy   -4.555 eV per atom
ΔE_f (raw)   -0.7264 eV per atom
M_tot   8.01 μB per cell
SG   C2/m (12)

=====

[5]
Density functional theory data (PBE) for an optimized crystal structure of Rb2InAg.

POSCAR file:
```
Rb2InAg
1.0
5.934 -3.576 0.000
5.934 3.576 0.000
-1.913 0.000 4.392
Rb In Ag
2 1 1
Direct
0.190 0.190 0.191
0.810 0.810 0.809
0.501 0.499 0.000
0.697 0.303 0.500
```

DFT formation energy   0.11 eV per formula unit
DFT total energy   -1.855 eV per atom
M_tot   0.00 μB per cell
SG   C2 (5)

=====

[6]
Density functional theory data (PBE) for an optimized crystal structure of ReTc4Sb.

POSCAR file:
```
ReTc4Sb
1.0
0.000 3.640 3.640
3.640 0.000 3.640
3.640 3.640 0.000
Re Tc Sb
1 4 1
Direct
0.000 0.000 0.000
0.126 0.625 0.625
0.625 0.126 0.625
0.625 0.625 0.126
0.625 0.625 0.625
0.250 0.250 0.250
```

DFT total energy   -9.113 eV per atom
ΔE_f (raw)   0.5596 eV per atom
M_tot   0.00 μB per cell
SG   F-43m (216)

=====

[7]
Density functional theory data (PBE) for an optimized crystal structure of NaHoP2O7.

POSCAR file:
```
NaHoP2O7
1.0
8.751 0.000 0.000
0.000 5.442 0.000
-4.837 0.000 13.324
Na Ho P O
4 4 8 28
Direct
0.059 0.223 0.335
0.059 0.277 0.835
0.941 0.723 0.165
0.941 0.777 0.665
0.247 0.236 0.645
0.247 0.264 0.145
0.753 0.736 0.855
0.753 0.764 0.355
0.187 0.719 0.475
0.187 0.781 0.975
0.316 0.745 0.311
0.316 0.755 0.811
0.684 0.245 0.189
0.684 0.255 0.689
0.813 0.219 0.025
0.813 0.281 0.525
0.028 0.704 0.893
0.028 0.796 0.393
0.190 0.057 0.998
0.190 0.443 0.498
0.218 0.532 0.753
0.218 0.968 0.253
0.221 0.507 0.271
0.221 0.993 0.771
0.232 0.622 0.068
0.232 0.878 0.568
0.329 0.727 0.927
0.329 0.773 0.427
0.490 0.738 0.313
0.490 0.762 0.813
0.510 0.238 0.187
0.510 0.262 0.687
0.671 0.227 0.573
0.671 0.273 0.073
0.768 0.122 0.432
0.768 0.378 0.932
0.779 0.007 0.229
0.779 0.493 0.729
0.782 0.032 0.747
0.782 0.468 0.247
0.810 0.557 0.502
0.810 0.943 0.002
0.972 0.204 0.607
0.972 0.296 0.107
```

DFT total energy   -7.347 eV per atom
ΔE_f (raw)   -2.6719 eV per atom
M_tot   0.00 μB per cell
SG   P2_1/c (14)

=====

[8]
Density functional theory data (PBE) for an optimized crystal structure of SrMo2Au.

POSCAR file:
```
SrMo2Au
1.0
1.464 0.845 10.506
-1.464 0.845 10.506
0.000 -1.690 10.506
Sr Mo Au
1 2 1
Direct
0.000 0.000 0.000
0.241 0.241 0.241
0.759 0.759 0.759
0.500 0.500 0.500
```

Relative energy among the computed polymorphs   0.707 eV per atom
DFT formation energy   3.93 eV per formula unit
DFT total energy   -5.672 eV per atom
M_tot   0.00 μB per cell
SG   R-3m (166)

=====

Volume (computed, A^3/atom): 15.06, 41.93, 35.42, 22.76, 46.60, 16.08, 14.42, 19.49